No. 1
KAl2Os | PBE | optimized geometry

Unit cell a=2.8655 b=2.8655 c=10.0123 alpha=90.00 beta=90.00 gamma=114.26
Last column: nearest neighbours and their distance in Å.
Fractional positions:
Al1 0.0000 0.0000 0.9827  2 Os 2.47
Al2 0.5000 0.5000 0.2111  6 Al 2.77-2.87
K1 0.0000 0.0000 0.5146  6 K 2.87-3.11, 2 Os 3.18
Os1 0.5000 0.5000 0.7916  2 Al 2.47

Results
Relative energy among the computed polymorphs in kJ per mole of atoms: 43.9
Formation enthalpy at 0 K in meV/atom: 506
Symmetry: No. 35

No. 2
KAl2Os | PBE | optimized geometry

Unit cell a=2.8713 b=4.0590 c=8.0271 alpha=90.00 beta=90.00 gamma=90.00
Last column: nearest neighbours and their distance in Å.
Fractional positions:
Al1 0.5000 0.5000 0.1810  1 Os 2.44
Al2 0.0000 0.0000 0.9219  4 Os 2.51
K1 0.0000 0.0000 0.5201  2 K 2.87
Os1 0.5000 0.5000 0.8770  5 Al 2.44-2.51

Results
Relative energy among the computed polymorphs in kJ per mole of atoms: 17.6
Formation enthalpy at 0 K in meV/atom: 233
Symmetry: No. 25

No. 3
KAlOs | PBE | optimized geometry

Unit cell a=4.5490 b=4.5490 c=4.5490 alpha=60.00 beta=60.00 gamma=60.00
Last column: nearest neighbours and their distance in Å.
Fractional positions:
Al1 0.0000 0.0000 0.0000  4 Os 2.79
Os1 0.7500 0.7500 0.7500  4 K 2.79, 4 Al 2.79
K1 0.5000 0.5000 0.5000  4 Os 2.79

Results
Relative energy among the computed polymorphs in kJ per mole of atoms: 89.5
Formation enthalpy at 0 K in meV/atom: 1304
Symmetry: No. 216

No. 4
K2AlOs2 | PBE | optimized geometry

Unit cell a=6.3712 b=6.3712 c=5.8258 alpha=90.00 beta=90.00 gamma=90.00
Last column: nearest neighbours and their distance in Å.
Fractional positions:
Os1 0.3701 0.8701 0.0000  1 Os 2.34, 2 Al 2.50
Os2 0.6299 0.1299 0.0000  1 Os 2.34, 2 Al 2.50
Os3 0.8701 0.6299 0.0000  1 Os 2.34, 2 Al 2.50
Os4 0.1299 0.3701 0.0000  1 Os 2.34, 2 Al 2.50
Al1 0.5000 0.5000 0.0000  4 Os 2.50
Al2 0.0000 0.0000 0.0000  4 Os 2.50
K1 0.8239 0.3239 0.5000  5 K 3.17-3.32, 6 Os 3.40-3.52
K2 0.1761 0.6761 0.5000  5 K 3.17-3.32, 6 Os 3.40-3.52
K3 0.3239 0.1761 0.5000  5 K 3.17-3.32, 6 Os 3.40-3.52
K4 0.6761 0.8239 0.5000  5 K 3.17-3.32, 6 Os 3.40-3.52

Results
Relative energy among the computed polymorphs in kJ per mole of atoms: 0.0
Formation enthalpy at 0 K in meV/atom: 773
Symmetry: No. 127

No. 5
KAl2Os | PBE | optimized geometry

Unit cell a=4.9690 b=4.9690 c=2.9251 alpha=90.00 beta=90.00 gamma=100.85
Last column: nearest neighbours and their distance in Å.
Fractional positions:
Al1 0.5000 0.5000 0.0000  4 K 2.88, 4 Os 2.88, 4 Al 2.93-3.17
Al2 0.0000 0.0000 0.0000  4 Os 2.88, 4 K 2.88, 4 Al 2.93-3.17
Os1 0.0000 0.5000 0.5000  8 Al 2.88, 2 Os 2.93, 2 K 3.17
K1 0.5000 0.0000 0.5000  8 Al 2.88, 2 K 2.93, 2 Os 3.17

Results
Relative energy among the computed polymorphs in kJ per mole of atoms: 74.6
Formation enthalpy at 0 K in meV/atom: 824
Symmetry: No. 65

No. 6
KAlOs3 | PBE | optimized geometry

Unit cell a=4.6345 b=4.6345 c=4.6345 alpha=90.00 beta=90.00 gamma=90.00
Last column: nearest neighbours and their distance in Å.
Fractional positions:
Os1 0.0000 0.0000 0.5000  2 Al 2.32
Os2 0.5000 0.0000 0.0000  2 Al 2.32
Os3 0.0000 0.5000 0.0000  2 Al 2.32
Al1 0.0000 0.0000 0.0000  6 Os 2.32
K1 0.5000 0.5000 0.5000  12 Os 3.28

Results
Relative energy among the computed polymorphs in kJ per mole of atoms: 0.0
Formation enthalpy at 0 K in meV/atom: 1891
Symmetry: No. 221

No. 7
KAl2Os | PBE | optimized geometry

Unit cell a=6.0537 b=6.0537 c=8.4170 alpha=68.92 beta=68.92 gamma=90.00
Last column: nearest neighbours and their distance in Å.
Fractional positions:
Al1 0.8754 0.1250 0.2500  2 Os 2.36
Al2 0.8746 0.6250 0.2500  2 Os 2.36
Al3 0.8750 0.1254 0.7500  2 Os 2.36
Al4 0.3750 0.1246 0.7500  2 Os 2.36
Os1 0.0000 0.0000 0.0000  4 Al 2.36
Os2 0.7500 0.2500 0.5000  4 Al 2.36
K1 0.5000 0.5000 0.0000  8 Al 3.84, 4 Os 4.28
K2 0.2500 0.7500 0.5000  8 Al 3.84, 4 Os 4.28

Results
Relative energy among the computed polymorphs in kJ per mole of atoms: 39.8
Formation enthalpy at 0 K in meV/atom: 463
Symmetry: No. 141

No. 8
KAl3Os | PBE | optimized geometry

Unit cell a=5.1472 b=5.1472 c=5.1472 alpha=90.00 beta=90.00 gamma=90.00
Last column: nearest neighbours and their distance in Å.
Fractional positions:
Al1 0.0000 0.0000 0.5000  2 K 2.57
Al2 0.5000 0.0000 0.0000  2 K 2.57
Al3 0.0000 0.5000 0.0000  2 K 2.57
Os1 0.5000 0.5000 0.5000  12 Al 3.64
K1 0.0000 0.0000 0.0000  6 Al 2.57

Results
Relative energy among the computed polymorphs in kJ per mole of atoms: 266.7
Formation enthalpy at 0 K in meV/atom: 2576
Symmetry: No. 221

No. 9
K3AlOs | PBE | optimized geometry

Unit cell a=6.1852 b=6.1852 c=6.1852 alpha=90.00 beta=90.00 gamma=90.00
Last column: nearest neighbours and their distance in Å.
Fractional positions:
Os1 0.0000 0.0000 0.0000  6 K 3.09
Al1 0.5000 0.5000 0.5000  12 K 4.37
K1 0.5000 0.0000 0.0000  2 Os 3.09
K2 0.0000 0.5000 0.0000  2 Os 3.09
K3 0.0000 0.0000 0.5000  2 Os 3.09

Results
Relative energy among the computed polymorphs in kJ per mole of atoms: 0.0
Formation enthalpy at 0 K in meV/atom: 1458
Symmetry: No. 221

No. 10
KAlOs | PBE | optimized geometry

Unit cell a=4.9270 b=4.9270 c=4.9270 alpha=60.00 beta=60.00 gamma=60.00
Last column: nearest neighbours and their distance in Å.
Fractional positions:
K1 0.7500 0.7500 0.7500  4 Os 3.02, 4 Al 3.02
Al1 0.5000 0.5000 0.5000  4 K 3.02
Os1 0.0000 0.0000 0.0000  4 K 3.02

Results
Relative energy among the computed polymorphs in kJ per mole of atoms: 190.3
Formation enthalpy at 0 K in meV/atom: 2349
Symmetry: No. 216

No. 11
KAlOs3 | PBE | optimized geometry

Unit cell a=4.5554 b=4.5554 c=4.5554 alpha=90.00 beta=90.00 gamma=90.00
Last column: nearest neighbours and their distance in Å.
Fractional positions:
K1 0.0000 0.0000 0.0000  6 Os 2.28
Os1 0.5000 0.0000 0.0000  2 K 2.28
Os2 0.0000 0.0000 0.5000  2 K 2.28
Os3 0.0000 0.5000 0.0000  2 K 2.28
Al1 0.5000 0.5000 0.5000  12 Os 3.22

Results
Relative energy among the computed polymorphs in kJ per mole of atoms: 169.5
Formation enthalpy at 0 K in meV/atom: 3647
Symmetry: No. 221

No. 12
KAl2Os | PBE | optimized geometry

Unit cell a=4.7039 b=4.7044 c=4.6889 alpha=120.08 beta=120.07 gamma=90.05
Last column: nearest neighbours and their distance in Å.
Fractional positions:
Os1 0.7499 0.2500 0.5000  4 K 2.87-2.88, 4 Al 2.87-2.88
K1 0.5000 0.5000 0.0000  4 Os 2.87-2.88, 4 Al 2.87-2.88
Al1 0.2501 0.7499 0.5000  4 Al 2.87-2.88, 4 K 2.87-2.88
Al2 0.9999 0.0001 0.0000  4 Al 2.87-2.88, 4 Os 2.87-2.88

Results
Relative energy among the computed polymorphs in kJ per mole of atoms: 86.5
Formation enthalpy at 0 K in meV/atom: 948
Symmetry: No. 119

No. 13
KAlOsPb2 | PBE | optimized geometry

Unit cell a=5.3632 b=5.7783 c=5.3632 alpha=90.00 beta=90.00 gamma=90.00
Last column: nearest neighbours and their distance in Å.
Fractional positions:
Pb1 0.0000 0.0000 0.5000  2 Al 2.68
Pb2 0.5000 0.0000 0.0000  2 Al 2.68
K1 0.0000 0.5000 0.0000  2 Al 2.89
Os1 0.5000 0.5000 0.5000  4 K 3.79, 8 Pb 3.94
Al1 0.0000 0.0000 0.0000  4 Pb 2.68, 2 K 2.89

Results
Formation enthalpy at 0 K in meV/atom: 1557
Symmetry: No. 123

No. 14
KAl2OsS | PBE | optimized geometry

Unit cell a=4.8008 b=5.0506 c=4.8008 alpha=90.00 beta=90.00 gamma=90.00
Last column: nearest neighbours and their distance in Å.
Fractional positions:
S1 0.0000 0.5000 0.0000  2 Os 2.53
Os1 0.0000 0.0000 0.0000  4 Al 2.40, 2 S 2.53
Al1 0.5000 0.0000 0.0000  2 Os 2.40
Al2 0.0000 0.0000 0.5000  2 Os 2.40
K1 0.5000 0.5000 0.5000  4 S 3.39, 8 Al 3.48

Results
Symmetry: No. 123
Formation energy from raw total energies in kcal/mol of atoms: 1.73

Number 1: energy -0.1634 Ha/atom. Number 2: energy -0.1734 Ha/atom. Number 3: energy -0.1489 Ha/atom. Number 4: energy -0.1803 Ha/atom. Number 5: energy -0.1517 Ha/atom. Number 6: energy -0.2137 Ha/atom. Number 7: energy -0.1650 Ha/atom. Number 8: energy -0.0785 Ha/atom. Number 9: energy -0.0807 Ha/atom. Number 10: energy -0.1105 Ha/atom. Number 11: energy -0.1492 Ha/atom. Number 12: energy -0.1472 Ha/atom. Number 13: energy -0.1154 Ha/atom. Number 14: energy -0.1732 Ha/atom.